(1)
Computed, not measured: Re2NiBr after structural relaxation at the GGA-PBE level of DFT.

abc: 4.5400 3.4898 4.9814
angles: 107.10 90.00 90.00
Last column: nearest neighbours and their distance in Å.
Positions (direct):
Ni1 0.5000 0.7500 0.7500  4 Re 2.57, 2 Br 2.59
Re1 0.0000 0.0775 0.9165  2 Re 2.32-2.40, 2 Ni 2.57
Re2 0.0000 0.4225 0.5835  2 Re 2.32-2.40, 2 Ni 2.57
Br1 0.5000 0.2500 0.2500  2 Ni 2.59, 4 Re 2.77

Calculated values
The spin magnetization comes out at 0.0000 μB per atom. For the raw total energy, the calculation gives -7.1483 eV/atom. The value obtained for the formation energy from raw total energies is 939 meV per atom. As for the symmetry: P2/m (10).


(2)
Computed, not measured: CuTeS after structural relaxation at the GGA-PBE level of DFT.

abc: 5.3966 7.6590 7.0504
angles: 96.94 90.00 90.00
Last column: nearest neighbours and their distance in Å.
Positions (direct):
Cu1 0.0086 0.3415 0.1341  3 S 2.32-2.35, 1 Te 2.58
Cu2 0.4914 0.3415 0.6341  3 S 2.32-2.35, 1 Te 2.58
Cu3 0.9914 0.6585 0.8659  3 S 2.32-2.35, 1 Te 2.58
Cu4 0.5086 0.6585 0.3659  3 S 2.32-2.35, 1 Te 2.58
S1 0.6687 0.3715 0.3366  3 Cu 2.32-2.35, 1 Te 2.48
S2 0.3313 0.6285 0.6634  3 Cu 2.32-2.35, 1 Te 2.48
S3 0.8313 0.3715 0.8366  3 Cu 2.32-2.35, 1 Te 2.48
S4 0.1687 0.6285 0.1634  3 Cu 2.32-2.35, 1 Te 2.48
Te1 0.8233 0.8438 0.2016  1 S 2.48, 2 Cu 2.58-2.76
Te2 0.3233 0.1562 0.2984  1 S 2.48, 2 Cu 2.58-2.76
Te3 0.6767 0.8438 0.7016  1 S 2.48, 2 Cu 2.58-2.76
Te4 0.1767 0.1562 0.7984  1 S 2.48, 2 Cu 2.58-2.76

Calculated values
The spin magnetization comes out at 0.0000 μB per atom. For the raw total energy, the calculation gives -3.8027 eV/atom. The value obtained for the formation energy from raw total energies is -14 meV per atom. As for the symmetry: P2_1/c (14).


(3)
Computed, not measured: Os2W after structural relaxation at the GGA-PBE level of DFT.

abc: 4.2210 4.2210 4.2210
angles: 60.00 60.00 60.00
Last column: nearest neighbours and their distance in Å.
Positions (direct):
Os1 0.7500 0.7500 0.7500  4 W 2.58
Os2 0.2500 0.2500 0.2500  4 W 2.58
W1 0.0000 0.0000 0.0000  8 Os 2.58

Calculated values
The spin magnetization comes out at 0.0000 μB per atom. Its formation energy is 0.642 eV/atom. For the raw total energy, the calculation gives -11.1622 eV/atom. As for the symmetry: Fm-3m (225).


> raw total energy of number 2 (CuTeS)?

-3.8027 eV/atom